# 1
The following is a DFT calculation (GGA-PBE) of crystalline MgBeSb2 at its relaxed geometry.

Its crystal system is tetragonal. Its formation energy from raw total energies is 1.23 eV/f.u.

The space group is P4/mmm (No. 123) and the conventional cell measures 3.687, 3.687 and 6.315 Å, with angles of 90.00, 90.00 and 90.00 degrees. The inequivalent atoms are Mg at (0.000, 0.000, 0.000), Be at (0.000, 0.000, 0.500) and Sb at (0.500, 0.500, 0.272).



# 2
The following is a DFT calculation (GGA-PBE) of crystalline La4TbSm3Te8 at its relaxed geometry.

Its crystal system is trigonal. Its formation energy from raw total energies is -23.69 eV/f.u.

The space group is R-3m (No. 166, hexagonal axes) and the conventional cell measures 9.0151, 9.0151 and 22.0372 Å, with angles of 90.00, 90.00 and 120.00 degrees. The inequivalent atoms are La at (0.0000, 0.0000, 0.0000), La at (0.0000, 0.5000, 0.0000), Tb at (0.0000, 0.0000, 0.5000), Sm at (0.0000, 0.5000, 0.5000), Te at (0.0000, 0.0000, 0.2469) and Te at (0.0030, 0.5015, 0.2462).



# 3
The following is a DFT calculation (GGA-PBE) of crystalline CaZr2Cr at its relaxed geometry.

Its formation energy is 0.555 eV/atom. Its crystal system is monoclinic.

The space group is C2/m (No. 12) and the conventional cell measures 6.068, 11.023 and 3.123 Å, with angles of 90.00, 115.60 and 90.00 degrees. The inequivalent atoms are Ca at (0.000, 0.000, 0.000), Zr at (0.250, 0.250, 0.500) and Cr at (0.000, 0.500, 0.000).



# 4
The following is a DFT calculation (GGA-PBE) of crystalline La3ZnRh at its relaxed geometry.

Its formation energy is -0.430 eV/atom. Its crystal system is orthorhombic.

The space group is Fmmm (No. 69) and the conventional cell measures 6.671, 9.774 and 16.516 Å, with angles of 90.00, 90.00 and 90.00 degrees. The inequivalent atoms are La at (0.000, 0.000, 0.200), La at (0.000, 0.191, 0.402), Zn at (0.188, 0.000, 0.000) and Rh at (0.250, 0.250, 0.250).



# 5
The following is a DFT calculation (GGA-PBE) of crystalline RbPuCuCl5 at its relaxed geometry.

Its crystal system is monoclinic. Its formation energy from raw total energies is -12.50 eV/f.u.

The space group is C2/c (No. 15) and the conventional cell measures 9.025, 12.057 and 10.210 Å, with angles of 90.00, 113.23 and 90.00 degrees. The inequivalent atoms are Rb at (0.000, 0.151, 0.250), Pu at (0.000, 0.500, 0.000), Cu at (0.000, 0.191, 0.750), Cl at (0.000, 0.421, 0.250), Cl at (0.104, 0.294, 0.612) and Cl at (0.190, 0.073, 0.917).



# 6
The following is a DFT calculation (GGA-PBE) of crystalline YBCl2 at its relaxed geometry.

Its crystal system is trigonal. Its formation energy from raw total energies is -0.39 eV/f.u.

The space group is R-3m (No. 166, hexagonal axes) and the conventional cell measures 3.5502, 3.5502 and 27.2725 Å, with angles of 90.00, 90.00 and 120.00 degrees. The inequivalent atoms are Y at (0.0000, 0.0000, 0.0000), B at (0.0000, 0.0000, 0.5000) and Cl at (0.0000, 0.0000, 0.3996).



# 7
The following is a DFT calculation (GGA-PBE) of crystalline TbDyPt4 at its relaxed geometry.

Its formation energy is -1.124 eV/atom. Its crystal system is cubic.

The space group is F-43m (No. 216) and the conventional cell measures 7.693, 7.693 and 7.693 Å, with angles of 90.00, 90.00 and 90.00 degrees. The inequivalent atoms are Tb at (0.000, 0.000, 0.000), Dy at (0.250, 0.250, 0.250) and Pt at (0.125, 0.125, 0.625).



# 8
The following is a DFT calculation (GGA-PBE) of crystalline Pr6CdRu2I3 at its relaxed geometry.

Its crystal system is monoclinic. Its formation energy from raw total energies is -7.66 eV/f.u.

The space group is C2/m (No. 12) and the conventional cell measures 7.448, 12.847 and 8.637 Å, with angles of 90.00, 106.60 and 90.00 degrees. The inequivalent atoms are Pr at (0.194, 0.000, 0.190), Pr at (0.249, 0.184, 0.807), Cd at (0.000, 0.500, 0.000), Ru at (0.000, 0.168, 0.000), I at (0.000, 0.000, 0.500) and I at (0.000, 0.337, 0.500).



# 9
The following is a DFT calculation (GGA-PBE) of crystalline Y4BiSbC at its relaxed geometry.

Its crystal system is orthorhombic. Its formation energy from raw total energies is -5.16 eV/f.u.

The space group is Cmcm (No. 63) and the conventional cell measures 6.832, 15.883 and 6.839 Å, with angles of 90.00, 90.00 and 90.00 degrees. The inequivalent atoms are Y at (0.000, 0.093, 0.250), Y at (0.000, 0.404, 0.250), Y at (0.250, 0.250, 0.000), Bi at (0.000, 0.395, 0.750), Sb at (0.000, 0.109, 0.750) and C at (0.000, 0.249, 0.250).



# 10
The following is a DFT calculation (GGA-PBE) of crystalline PrMg2BeSi2 at its relaxed geometry.

Its crystal system is tetragonal. Its formation energy from raw total energies is -0.18 eV/f.u.

The space group is I4/mmm (No. 139) and the conventional cell measures 4.238, 4.238 and 14.667 Å, with angles of 90.00, 90.00 and 90.00 degrees. The inequivalent atoms are Pr at (0.000, 0.000, 0.000), Mg at (0.000, 0.500, 0.250), Be at (0.000, 0.000, 0.500) and Si at (0.000, 0.000, 0.362).



# 11
The following is a DFT calculation (GGA-PBE) of crystalline TaNi2P at its relaxed geometry.

Its formation energy is -0.201 eV/atom. Its crystal system is tetragonal.

The space group is P4/mmm (No. 123) and the conventional cell measures 2.840, 2.840 and 6.366 Å, with angles of 90.00, 90.00 and 90.00 degrees. The inequivalent atoms are Ta at (0.000, 0.000, 0.000), Ni at (0.500, 0.500, 0.300) and P at (0.000, 0.000, 0.500).



# 12
The following is a DFT calculation (GGA-PBE) of crystalline TaFeSb2 at its relaxed geometry.

Its crystal system is tetragonal. Its formation energy from raw total energies is 3.35 eV/f.u.

The space group is I-42d (No. 122) and the conventional cell measures 6.211, 6.211 and 12.008 Å, with angles of 90.00, 90.00 and 90.00 degrees. The inequivalent atoms are Ta at (0.000, 0.000, 0.000), Fe at (0.000, 0.000, 0.500) and Sb at (0.235, 0.250, 0.625).



Computed total magnetization (μB/cell) in order:
0.00, 0.00, 6.37, 0.00, 20.00, 0.00, 0.00, 0.00, 0.00, 0.00, 0.00, 12.39